No. 1
DFT (GGA-PBE) results for an optimized crystal structure of La5Tb2PmNd.

abc: 8.125 8.125 9.993
angles: 90.00 90.00 90.00
Element x y z (fractional)
La 0.000 0.000 0.000
La 0.202 0.298 0.263
La 0.202 0.298 0.737
La 0.298 0.798 0.263
La 0.298 0.798 0.737
La 0.500 0.500 0.000
La 0.702 0.202 0.263
La 0.702 0.202 0.737
La 0.798 0.702 0.263
La 0.798 0.702 0.737
Tb 0.129 0.629 0.000
Tb 0.371 0.129 0.000
Tb 0.629 0.871 0.000
Tb 0.871 0.371 0.000
Pm 0.000 0.500 0.500
Pm 0.500 0.000 0.500
Nd 0.000 0.000 0.500
Nd 0.500 0.500 0.500

Calculated values
ΔH_f (0 K) ... 0.259 eV/atom

---

No. 2
DFT (GGA-PBE) results for an optimized crystal structure of Ce2BePd4Au2.

abc: 6.164 6.164 6.164
angles: 119.30 119.30 91.21
Element x y z (fractional)
Ce 0.250 0.750 0.500
Ce 0.750 0.250 0.500
Be 0.000 0.000 0.000
Pd 0.263 0.263 0.527
Pd 0.263 0.737 0.000
Pd 0.737 0.263 0.000
Pd 0.737 0.737 0.473
Au 0.265 0.265 0.000
Au 0.735 0.735 0.000

Calculated values
ΔH_f (0 K) ... -0.613 eV/atom

---

No. 3
DFT (GGA-PBE) results for an optimized crystal structure of NaCdPb2.

abc: 5.970 5.665 6.735
angles: 90.00 91.22 90.00
Element x y z (fractional)
Na 0.100 0.250 0.379
Na 0.900 0.750 0.621
Cd 0.408 0.750 0.379
Cd 0.592 0.250 0.621
Pb 0.084 0.250 0.874
Pb 0.409 0.750 0.864
Pb 0.591 0.250 0.136
Pb 0.916 0.750 0.126

Calculated values
ΔH_f (0 K) ... -0.056 eV/atom

---

No. 4
DFT (GGA-PBE) results for an optimized crystal structure of ReSeN2O.

abc: 3.789 3.789 3.835
angles: 90.00 90.00 90.00
Element x y z (fractional)
Re 0.000 0.000 0.000
Se 0.500 0.500 0.000
N 0.000 0.500 0.500
N 0.500 0.000 0.500
O 0.500 0.500 0.500

Calculated values
E_form (uncorrected) ... 208.9 kJ per mole of atoms